The following is a DFT calculation (meta-GGA SCAN) of a crystal of Sr2YMn relaxed with PBEsol.

Calculated volume in A^3/atom: 32.06
Symmetry: No. 216
Polymorph energy (0 for the lowest one) in meV per atom: 44
VASP energy in eV per cell: -89.34
Size of the total moment in μB/cell: 3.89

Cell lengths 5.6603, 5.6603, 5.6603 Å; angles 60.00, 60.00, 60.00 degrees
Last column: magnetic moment on the atom in μB.
Fractional coordinates of all 4 atoms:
Mn1 0.5000 0.5000 0.5000  4.39
Sr1 0.0000 0.0000 0.0000  -0.10
Sr2 0.7500 0.7500 0.7500  -0.04
Y1 0.2500 0.2500 0.2500  -0.28